First-principles (SCAN) data for KSc3 at its PBEsol-relaxed geometry, as listed in Alexandria via LeMat-Bulk.

POSCAR file:
```
KSc3
1.0
4.837 0.000 0.000
0.000 4.837 0.000
0.000 0.000 9.638
K Sc
2 6
Cartesian
0.000 0.000 0.000 K
2.418 2.418 4.819 K
0.000 0.000 4.819 Sc
0.000 2.418 2.410 Sc
0.000 2.418 7.229 Sc
2.418 0.000 2.410 Sc
2.418 0.000 7.229 Sc
2.418 2.418 0.000 Sc
```

ΔH_f (0 K) (eV per atom): 0.6890
Total DFT energy (no corrections) (eV/cell): -96.57